A plane-wave DFT calculation with GGA-PBE was carried out for crystalline TlCuRe2 at its relaxed geometry.

calculated formation energy	12.8	kcal/mol of atoms
magnetic moment	0.0	Bohr magnetons per cell
symmetry	Pm
energy relative to the lowest polymorph listed for this composition	98	meV per atom

Cell: 3.7145 2.9668 6.6881 Å, 65.22 90.00 90.00°
Atoms (fractional coordinates):
Re 0.0000 0.0096 0.0125
Re 0.5000 0.2750 0.1976
Cu 0.5000 0.7306 0.7698
Tl 0.0000 0.4848 0.5202